A plane-wave DFT calculation with PBE was carried out for Ca2Ga2Au7 after structural relaxation.

a b c (Å): 5.4550 6.9454 6.9453
angles (deg): 84.02 109.75 109.75
Atoms (fractional coordinates):
Au 0.4909 0.7205 0.7205
Au 0.1472 0.9065 0.4176
Au 0.0000 0.0000 0.0000
Au 0.5091 0.2795 0.2795
Au 0.8528 0.0935 0.5824
Au 0.8528 0.5824 0.0935
Au 0.1472 0.4176 0.9065
Ca 0.5000 0.2382 0.7618
Ca 0.5000 0.7618 0.2382
Ga 0.9665 0.7036 0.7036
Ga 0.0335 0.2964 0.2964

Properties
The value obtained for the total magnetization is 0.00 Bohr magnetons per cell. The energy of formation from the pure elements comes out at -45 kJ per mole of atoms. Its space group is C2/m (12). The final energy is -3.468 eV per atom. The value obtained for the density of states at the Fermi level is 4.055 states/eV/f.u.